An optimized crystal structure of Cu7Pt5. Source: Alexandria via LeMat-Bulk, functional PBE-GGA.

Cell and atoms, written as extended XYZ:
```
12
Lattice="4.6910 0.0000 0.0000 0.0000 2.7190 0.0000 -0.0510 0.0000 12.9518" Properties=species:S:1:pos:R:3 pbc="T T T"
Cu 0.0000 0.0000 0.0000
Cu -0.0218 0.0000 6.7662
Cu 0.7491 1.3595 10.9541
Cu 1.5100 0.0000 8.8529
Cu 2.2804 1.3595 6.7747
Cu 2.3328 1.3595 0.0050
Cu 3.0443 0.0000 10.9675
Pt 0.7438 1.3595 4.6221
Pt 1.5418 0.0000 2.1638
Pt 3.0891 0.0000 4.6169
Pt 3.8552 1.3595 8.8698
Pt 3.8883 1.3595 2.1519
```

Summary:
energy of formation = -0.09 eV/atom
total magnetic moment = 0.0 μB/cell
relative energy among the computed polymorphs = 51 meV per atom

---

An optimized crystal structure of CuPt2. Source: Alexandria via LeMat-Bulk, functional PBE-GGA.

Cell and atoms, written as extended XYZ:
```
12
Lattice="4.7587 -2.7523 0.0000 4.7587 2.7523 0.0000 -0.0459 0.0000 6.7107" Properties=species:S:1:pos:R:3 pbc="T T T"
Cu 2.3794 1.3762 0.0000
Cu 1.5642 0.0000 2.2403
Cu 2.3794 -1.3762 0.0000
Cu 7.9074 0.0000 4.4703
Pt 0.0000 0.0000 0.0000
Pt 3.9163 1.3830 2.2070
Pt 3.1504 0.0000 4.4956
Pt 5.5552 1.3830 4.5037
Pt 4.7587 0.0000 0.0000
Pt 3.9163 -1.3830 2.2070
Pt 6.3211 0.0000 2.2151
Pt 5.5552 -1.3830 4.5037
```

Summary:
energy of formation = -0.11 eV/atom
total magnetic moment = 0.0 μB/cell

---

An optimized crystal structure of CuPt4. Source: Alexandria via LeMat-Bulk, functional PBE-GGA.

Cell and atoms, written as extended XYZ:
```
5
Lattice="4.5115 0.0000 0.0000 0.0000 4.5115 0.0000 0.0000 0.0000 4.5115" Properties=species:S:1:pos:R:3 pbc="T T T"
Cu 0.0000 0.0000 0.0000
Pt 0.0000 0.0000 2.2558
Pt 0.0000 2.2558 0.0000
Pt 2.2558 0.0000 0.0000
Pt 2.2558 2.2558 2.2558
```

Summary:
energy of formation = 1.12 eV/atom
total magnetic moment = 0.0 μB/cell
relative energy among the computed polymorphs = 1205 meV per atom

---

An optimized crystal structure of Cu7Pt5. Source: Alexandria via LeMat-Bulk, functional PBE-GGA.

Cell and atoms, written as extended XYZ:
```
12
Lattice="2.3203 -4.0387 0.0000 2.3203 4.0387 0.0000 -1.5677 0.0000 8.7739" Properties=species:S:1:pos:R:3 pbc="T T T"
Cu 0.0000 0.0000 0.0000
Cu 0.0024 -0.0004 6.5591
Cu 0.7616 -1.3455 2.2235
Cu 1.5365 0.0111 4.3870
Cu 3.0706 -0.0004 2.2148
Cu 1.5365 -2.6659 4.3870
Cu 2.3113 -1.3455 6.5504
Pt 0.7339 1.3070 2.2426
Pt 1.5365 2.7617 4.3870
Pt 2.3203 1.3542 0.0000
Pt 2.3390 1.3070 6.5313
Pt 2.3203 -1.3229 0.0000
```

Summary:
energy of formation = -0.12 eV/atom
total magnetic moment = 0.0 μB/cell
relative energy among the computed polymorphs = 21 meV per atom

---

An optimized crystal structure of Cu17Pt2. Source: Alexandria via LeMat-Bulk, functional PBE-GGA.

Cell and atoms, written as extended XYZ:
```
19
Lattice="4.1122 2.3742 4.1759 -4.1122 2.3742 4.1759 0.0000 -4.7483 4.1759" Properties=species:S:1:pos:R:3 pbc="T T T"
Cu -4.1122 0.0000 6.2638
Cu -1.2678 -2.5525 4.1759
Cu -2.0561 1.1871 2.0879
Cu -2.8444 0.1783 4.1759
Cu 0.0000 0.0000 1.2143
Cu -2.0200 -1.1663 6.0766
Cu 1.2678 -2.5525 4.1759
Cu -1.5766 2.3742 4.1759
Cu 0.0000 -2.3325 6.4511
Cu -2.0200 1.1663 6.4511
Cu 2.0561 1.1871 2.0880
Cu 2.0200 -1.1663 6.0766
Cu 0.0000 2.3325 6.0766
Cu 2.8444 0.1783 4.1759
Cu 1.5766 2.3742 4.1759
Cu 2.0200 1.1663 6.4511
Cu 0.0000 0.0000 11.3134
Pt 0.0000 0.0000 3.8911
Pt 0.0000 0.0000 8.6366
```

Summary:
energy of formation = 0.11 eV/atom
total magnetic moment = 0.0 μB/cell

---

An optimized crystal structure of Cu4Pt3. Source: Alexandria via LeMat-Bulk, functional PBE-GGA.

Cell and atoms, written as extended XYZ:
```
14
Lattice="5.6165 3.2427 1.7412 -5.6165 3.2427 1.7412 0.0000 -6.4854 1.7412" Properties=species:S:1:pos:R:3 pbc="T T T"
Cu 0.0000 0.0000 0.0000
Cu -4.0721 -1.4430 2.6637
Cu -0.7864 -4.2480 2.5598
Cu -3.2857 2.8050 2.5598
Cu 0.0000 0.0000 2.6118
Cu 3.2857 -2.8051 2.6637
Cu 0.7864 4.2480 2.6637
Cu 4.0721 1.4430 2.5598
Pt -2.4251 0.4611 1.7910
Pt 0.8133 -2.3307 1.7910
Pt -1.6118 -1.8697 3.4326
Pt 1.6118 1.8697 1.7910
Pt -0.8133 2.3307 3.4326
Pt 2.4251 -0.4611 3.4326
```

Summary:
energy of formation = -0.12 eV/atom
total magnetic moment = 0.0 μB/cell
relative energy among the computed polymorphs = 0 meV per atom

---

An optimized crystal structure of Cu7Pt5. Source: Alexandria via LeMat-Bulk, functional PBE-GGA.

Cell and atoms, written as extended XYZ:
```
12
Lattice="4.6608 0.0000 0.0000 1.6109 5.1959 0.0000 1.6762 0.9691 6.7890" Properties=species:S:1:pos:R:3 pbc="T T T"
Cu 0.0000 0.0000 0.0000
Cu 0.8453 1.1722 2.2271
Cu 4.8002 4.2993 5.7037
Cu 3.9830 1.6434 5.7011
Cu 3.9650 4.5216 1.0879
Cu 3.1477 1.8657 1.0853
Cu 7.1026 4.9928 4.5619
Pt 0.8054 2.5980 0.0000
Pt 1.6739 3.8178 2.2112
Pt 3.1685 0.4845 3.3945
Pt 3.9740 3.0825 3.3945
Pt 6.2740 2.3472 4.5778
```

Summary:
energy of formation = -0.12 eV/atom
total magnetic moment = 0.0 μB/cell
relative energy among the computed polymorphs = 23 meV per atom

---

An optimized crystal structure of Cu5Pt4. Source: Alexandria via LeMat-Bulk, functional PBE-GGA.

Cell and atoms, written as extended XYZ:
```
9
Lattice="-4.0072 4.0072 1.9192 4.0072 -4.0072 1.9192 4.0072 4.0072 -1.9192" Properties=species:S:1:pos:R:3 pbc="T T T"
Cu 0.0000 0.0000 0.0000
Cu 2.6971 2.6971 0.0000
Cu 1.3100 -1.3100 1.9192
Cu -1.3100 1.3100 1.9192
Cu 1.3100 1.3100 1.9192
Pt 2.5862 0.0000 0.0000
Pt 5.4281 0.0000 0.0000
Pt 0.0000 2.5862 0.0000
Pt 0.0000 5.4281 0.0000
```

Summary:
energy of formation = -0.13 eV/atom
total magnetic moment = 0.0 μB/cell
relative energy among the computed polymorphs = 0 meV per atom

---

An optimized crystal structure of Cu7Pt5. Source: Alexandria via LeMat-Bulk, functional PBE-GGA.

Cell and atoms, written as extended XYZ:
```
12
Lattice="0.0000 3.7960 8.0461 2.7007 0.0000 8.0461 2.7007 3.7960 0.0000" Properties=species:S:1:pos:R:3 pbc="T T T"
Cu 0.0000 0.0000 0.0000
Cu 1.3504 1.8980 1.3068
Cu 2.7007 3.7960 2.5452
Cu 1.3504 1.8980 3.8275
Cu 4.0511 5.6941 9.3529
Cu 2.7007 3.7960 10.6174
Cu 4.0511 5.6941 11.8735
Pt 2.7007 3.7960 5.1477
Pt 1.3504 1.8980 6.6559
Pt 2.7007 3.7960 8.0946
Pt 2.7007 3.7960 13.1687
Pt 4.0511 5.6941 14.7020
```

Summary:
energy of formation = -0.08 eV/atom
total magnetic moment = 0.0 μB/cell
relative energy among the computed polymorphs = 62 meV per atom

---

An optimized crystal structure of Cu7Pt5. Source: Alexandria via LeMat-Bulk, functional PBE-GGA.

Cell and atoms, written as extended XYZ:
```
12
Lattice="4.6402 0.0000 0.0000 0.0000 5.3963 0.0000 -0.1075 0.0000 6.5790" Properties=species:S:1:pos:R:3 pbc="T T T"
Cu 0.0000 0.0000 0.0000
Cu 0.7537 1.2958 2.2101
Cu 0.7537 4.1006 2.2101
Cu 1.4499 0.0000 4.3478
Cu 3.0828 0.0000 2.2312
Cu 3.7790 1.2958 4.3688
Cu 3.7790 4.1006 4.3688
Pt 0.0000 2.6982 0.0000
Pt 1.4096 2.6982 4.3245
Pt 2.3201 1.3229 0.0000
Pt 2.3201 4.0734 0.0000
Pt 3.1231 2.6982 2.2545
```

Summary:
energy of formation = -0.12 eV/atom
total magnetic moment = 0.0 μB/cell
relative energy among the computed polymorphs = 28 meV per atom

---

An optimized crystal structure of CuPt2. Source: Alexandria via LeMat-Bulk, functional PBE-GGA.

Cell and atoms, written as extended XYZ:
```
6
Lattice="1.3728 -2.3762 0.0000 1.3728 2.3762 0.0000 0.0000 0.0000 13.4783" Properties=species:S:1:pos:R:3 pbc="T T T"
Cu 1.3728 2.3704 10.1087
Cu 1.3728 -2.3704 3.3696
Pt 1.3728 0.7981 1.2180
Pt 1.3728 0.7981 5.5211
Pt 1.3728 -0.7981 7.9572
Pt 1.3728 -0.7981 12.2602
```

Summary:
energy of formation = -0.11 eV/atom
total magnetic moment = 0.0 μB/cell